Compound: LaHoAlSn
Source: the Alexandria database
Functional: GGA-PBE
Structure: optimized geometry

a = 5.3591 Å, b = 5.3591 Å, c = 5.3591 Å
α = 60.00°, β = 60.00°, γ = 60.00°
Last column: nearest neighbours and their distance in Å.
Element x y z (fractional)
La (0.0000, 0.0000, 0.0000)  4 Al 3.28, 4 Sn 3.28
Ho (0.5000, 0.5000, 0.5000)  4 Al 3.28, 4 Sn 3.28
Al (0.7500, 0.7500, 0.7500)  4 La 3.28, 4 Ho 3.28
Sn (0.2500, 0.2500, 0.2500)  4 La 3.28, 4 Ho 3.28

Calculated values
As for the crystal system: cubic. The calculation puts the spin magnetization at 0.0 μB per cell. The value obtained for the formation energy is -1.8 eV per formula unit.